# 1
HoCrSi2 | PBE | relaxed

Its uncorrected formation energy is -0.40 eV per atom.

a = 4.0418 Å, b = 4.0418 Å, c = 14.7934 Å
α = 90.00°, β = 90.00°, γ = 120.00°
Last column: nearest neighbours and their distance in Å.
Space group R-3m (No. 166, hexagonal axes)
Inequivalent atoms, fractional coordinates:
Ho (0.0000, 0.0000, 0.0000) x3  8 Si 2.91-3.20
Cr (0.0000, 0.0000, 0.5000) x3  6 Si 2.45
Si (0.0000, 0.0000, 0.2163) x6  3 Cr 2.45

***

# 2
HoCrSi | PBE | relaxed

Its uncorrected formation energy is -0.32 eV per atom.

a = 6.7852 Å, b = 6.7852 Å, c = 4.0969 Å
α = 90.00°, β = 90.00°, γ = 120.00°
Last column: nearest neighbours and their distance in Å.
Space group P-62m (No. 189)
Inequivalent atoms, fractional coordinates:
Ho (0.0000, 0.4184, 0.0000) x3  5 Si 2.84-2.89
Cr (0.0000, 0.7869, 0.5000) x3  2 Cr 2.50, 4 Si 2.51-2.76
Si (0.0000, 0.0000, 0.0000) x1  6 Cr 2.51
Si (0.3333, 0.6667, 0.5000) x2  3 Cr 2.76, 6 Ho 2.89

***

# 3
HoCr2Si2 | PBE | relaxed

Its uncorrected formation energy is -0.44 eV per atom.

a = 3.8369 Å, b = 3.8369 Å, c = 10.6806 Å
α = 90.00°, β = 90.00°, γ = 90.00°
Last column: nearest neighbours and their distance in Å.
Space group I4/mmm (No. 139)
Inequivalent atoms, fractional coordinates:
Ho (0.0000, 0.0000, 0.0000) x2  8 Si 2.98, 8 Cr 3.29
Cr (0.0000, 0.5000, 0.2500) x4  4 Si 2.40
Si (0.0000, 0.0000, 0.3852) x4  4 Cr 2.40, 1 Si 2.45

***

# 4
HoTaCr4 | PBE | relaxed

The value obtained for the formation energy from the elements is 0.140 eV/atom.

a = 7.1274 Å, b = 7.1274 Å, c = 7.1274 Å
α = 90.00°, β = 90.00°, γ = 90.00°
Last column: nearest neighbours and their distance in Å.
Space group F-43m (No. 216)
Inequivalent atoms, fractional coordinates:
Ho (0.0000, 0.0000, 0.0000) x4  12 Cr 2.96, 4 Ta 3.09
Ta (0.2500, 0.2500, 0.2500) x4  12 Cr 2.95, 4 Ho 3.09
Cr (0.1248, 0.1248, 0.6248) x16  6 Cr 2.52

***

# 5
TbHoZnCr | PBE | relaxed

The value obtained for the formation energy from the elements is 0.008 eV/atom.

a = 7.1302 Å, b = 7.1302 Å, c = 7.1302 Å
α = 90.00°, β = 90.00°, γ = 90.00°
Last column: nearest neighbours and their distance in Å.
Space group F-43m (No. 216)
Inequivalent atoms, fractional coordinates:
Tb (0.0000, 0.0000, 0.0000) x4  4 Cr 3.09, 4 Zn 3.09
Ho (0.0000, 0.0000, 0.5000) x4  4 Cr 3.09, 4 Zn 3.09
Zn (0.2500, 0.2500, 0.2500) x4  4 Tb 3.09, 4 Ho 3.09
Cr (0.2500, 0.2500, 0.7500) x4  4 Tb 3.09, 4 Ho 3.09

***

# 6
HoCrTc | PBE | relaxed

The value obtained for the formation energy from the elements is 0.357 eV/atom.

a = 5.2491 Å, b = 8.3626 Å, c = 9.5345 Å
α = 90.00°, β = 90.00°, γ = 90.00°
Last column: nearest neighbours and their distance in Å.
Space group Fmmm (No. 69)
Inequivalent atoms, fractional coordinates:
Ho (0.0000, 0.1690, 0.0000) x8  4 Cr 2.80, 3 Ho 2.83-2.95
Cr (0.2500, 0.2500, 0.2500) x8  4 Tc 2.60, 2 Cr 2.62, 4 Ho 2.80
Tc (0.0000, 0.0000, 0.3340) x8  4 Cr 2.60

***

# 7
Ho2CrTc3 | PBE | relaxed

The value obtained for the formation energy from the elements is -0.092 eV/atom.

a = 9.1271 Å, b = 5.3887 Å, c = 5.3075 Å
α = 90.00°, β = 124.27°, γ = 90.00°
Last column: nearest neighbours and their distance in Å.
Space group C2/m (No. 12)
Inequivalent atoms, fractional coordinates:
Ho (0.1250, 0.0000, 0.3745) x4  9 Tc 3.10-3.14, 3 Cr 3.15-3.16, 4 Ho 3.23-3.29
Cr (0.0000, 0.5000, 0.0000) x2  6 Tc 2.65
Tc (0.0000, 0.5000, 0.5000) x2  2 Cr 2.65, 4 Tc 2.69
Tc (0.2500, 0.2500, 0.0000) x4  2 Cr 2.65, 4 Tc 2.69

***

# 8
Ho2Tl3CrTe6 | PBE | relaxed

Its uncorrected formation energy is -0.74 eV per atom.

a = 7.4983 Å, b = 12.9834 Å, c = 8.4859 Å
α = 90.00°, β = 107.12°, γ = 90.00°
Last column: nearest neighbours and their distance in Å.
Space group C2/m (No. 12)
Inequivalent atoms, fractional coordinates:
Ho (0.0000, 0.1650, 0.0000) x4  6 Te 3.07-3.09
Tl (0.0000, 0.0000, 0.5000) x2  6 Te 3.43-3.56
Tl (0.0000, 0.3223, 0.5000) x4  6 Te 3.43-3.53
Cr (0.0000, 0.5000, 0.0000) x2  6 Te 2.82-2.88
Te (0.2201, 0.3456, 0.2004) x8  1 Cr 2.82, 2 Ho 3.07-3.08
Te (0.2389, 0.5000, 0.7896) x4  1 Cr 2.88, 2 Ho 3.09

***

| no. | D(E_F) (states/eV/f.u.) | total DFT energy (no corrections) (eV per atom) |
| --- | --- | --- |
| 1 | 2.46 | -6.661 |
| 2 | 3.28 | -6.866 |
| 3 | 4.58 | -7.373 |
| 4 | 6.32 | -9.014 |
| 5 | 1.59 | -5.018 |
| 6 | 3.16 | -7.832 |
| 7 | 5.11 | -8.405 |
| 8 | 1.02 | -4.467 |